An optimized crystal structure of ErTmTl. Source: Alexandria, functional GGA-PBE.

The structure in extended XYZ format:
```
6
Lattice="-1.940 4.985 -0.098 -2.406 -3.860 -2.816 -3.867 -1.402 5.226" Properties=species:S:1:pos:R:3 pbc="T T T"
Er -1.203 -1.930 -1.408
Er -3.136 -2.631 1.205
Tm -2.014 0.668 0.805
Tm -6.198 -0.946 1.508
Tl -3.948 -0.035 3.417
Tl -4.265 -0.243 -1.105
```

Calculated values
magnetization: 0.0 μB/f.u.
SG: No. 194
polymorph energy (0 for the lowest one): 0 meV/atom
energy relative to the elements: -244 meV/atom